Entry 1:
Below is crystalline AcCdHg14 at its relaxed geometry, with properties calculated at the PBE-GGA level.

a b c (Å): 7.5669 7.5669 7.4933
angles (deg): 90.00 90.00 90.00
With the nearest neighbours (Å) after each atom.
Fractional coordinates of all 16 atoms:
Ac (0.0000, 0.0000, 0.0000)  10 Hg 3.38-3.75
Cd (0.5000, 0.5000, 0.0000)  8 Hg 3.21
Hg (0.0000, 0.0000, 0.5000)  8 Hg 3.32
Hg (0.0000, 0.5000, 0.0000)  8 Hg 3.30
Hg (0.0000, 0.5000, 0.5000)  8 Hg 3.24
Hg (0.2594, 0.2594, 0.2566)  6 Hg 3.16-3.32, 1 Cd 3.21, 1 Ac 3.38
Hg (0.2594, 0.2594, 0.7434)  6 Hg 3.16-3.32, 1 Cd 3.21, 1 Ac 3.38
Hg (0.2594, 0.7406, 0.2566)  6 Hg 3.16-3.32, 1 Cd 3.21, 1 Ac 3.38
Hg (0.2594, 0.7406, 0.7434)  6 Hg 3.16-3.32, 1 Cd 3.21, 1 Ac 3.38
Hg (0.5000, 0.0000, 0.0000)  8 Hg 3.30
Hg (0.5000, 0.0000, 0.5000)  8 Hg 3.24
Hg (0.5000, 0.5000, 0.5000)  8 Hg 3.16
Hg (0.7406, 0.2594, 0.2566)  6 Hg 3.16-3.32, 1 Cd 3.21, 1 Ac 3.38
Hg (0.7406, 0.2594, 0.7434)  6 Hg 3.16-3.32, 1 Cd 3.21, 1 Ac 3.38
Hg (0.7406, 0.7406, 0.2566)  6 Hg 3.16-3.32, 1 Cd 3.21, 1 Ac 3.38
Hg (0.7406, 0.7406, 0.7434)  6 Hg 3.16-3.32, 1 Cd 3.21, 1 Ac 3.38

Properties
Its space-group type is P4/mmm (123). Its density is 12.2 g/cm³. Its formation energy from the elements is -0.101 eV/atom.

***

Entry 2:
Below is crystalline Hf4InTc at its relaxed geometry, with properties calculated at the PBE-GGA level.

a b c (Å): 4.9872 14.5257 3.4262
angles (deg): 90.00 90.00 90.00
With the nearest neighbours (Å) after each atom.
Fractional coordinates of all 12 atoms:
Hf (0.0000, 0.1384, 0.0000)  2 Tc 2.64
Hf (0.0000, 0.3197, 0.5000)  10 Hf 3.09-3.43, 2 In 3.13
Hf (0.0000, 0.6803, 0.5000)  10 Hf 3.09-3.43, 2 In 3.13
Hf (0.0000, 0.8616, 0.0000)  2 Tc 2.64
Hf (0.5000, 0.1803, 0.5000)  10 Hf 3.09-3.43, 2 In 3.13
Hf (0.5000, 0.3616, 0.0000)  2 Tc 2.64
Hf (0.5000, 0.6384, 0.0000)  2 Tc 2.64
Hf (0.5000, 0.8197, 0.5000)  10 Hf 3.09-3.43, 2 In 3.13
In (0.0000, 0.5000, 0.0000)  4 Tc 3.03, 8 Hf 3.13-3.20
In (0.5000, 0.0000, 0.0000)  4 Tc 3.03, 8 Hf 3.13-3.20
Tc (0.0000, 0.0000, 0.5000)  4 Hf 2.64
Tc (0.5000, 0.5000, 0.5000)  4 Hf 2.64

Properties
Its space-group type is Cmmm (65). Its density is 12.4 g/cm³. Its formation energy from the elements is -0.080 eV/atom.

***

Entry 3:
Below is crystalline Ta2CrIrN at its relaxed geometry, with properties calculated at the PBE-GGA level.

a b c (Å): 4.2216 4.2216 3.8495
angles (deg): 90.00 90.00 90.00
With the nearest neighbours (Å) after each atom.
Fractional coordinates of all 5 atoms:
Ta (0.0000, 0.5000, 0.0000)  2 N 2.11
Ta (0.5000, 0.0000, 0.0000)  2 N 2.11
Cr (0.0000, 0.0000, 0.5000)  2 N 1.92
Ir (0.5000, 0.5000, 0.5000)  8 Ta 2.86, 4 Cr 2.99
N (0.0000, 0.0000, 0.0000)  2 Cr 1.92, 4 Ta 2.11

Properties
As for the uncorrected formation energy: -602 meV per atom. Its space-group type is P4/mmm (123). Its density is 15.0 g/cm³.

***

Entry 4:
Below is crystalline Li2InPd4 at its relaxed geometry, with properties calculated at the PBE-GGA level.

a b c (Å): 5.5538 6.4641 6.8829
angles (deg): 112.75 94.09 103.49
With the nearest neighbours (Å) after each atom.
Fractional coordinates of all 14 atoms:
Li (0.0000, 0.0000, 0.0000)  6 Pd 2.67-2.88, 4 Li 2.76-2.92, 2 In 2.92-2.96
Li (0.0695, 0.3286, 0.4478)  8 Pd 2.61-2.82, 1 In 2.88, 1 Li 2.92
Li (0.2041, 0.8720, 0.3084)  8 Pd 2.65-2.90, 1 Li 2.82, 1 In 2.88
Li (0.5024, 0.9971, 0.9997)  7 Pd 2.64-2.87, 2 Li 2.76-2.79, 1 In 2.94
In (0.3773, 0.4608, 0.1465)  8 Pd 2.70-2.83, 3 Li 2.88-3.02
In (0.7720, 0.1597, 0.7095)  9 Pd 2.71-2.88, 3 Li 2.88-2.94
Pd (0.1439, 0.5988, 0.8682)  4 Li 2.64-2.80, 6 Pd 2.76-2.92, 2 In 2.77-2.84
Pd (0.2720, 0.1570, 0.7188)  4 Li 2.65-2.88, 4 Pd 2.75-2.92, 3 In 2.76-2.78
Pd (0.4128, 0.7305, 0.5788)  3 Li 2.61-2.67, 6 Pd 2.77-2.92, 2 In 2.77-2.78
Pd (0.5515, 0.2927, 0.4148)  4 Li 2.70-2.82, 2 In 2.70-2.80, 6 Pd 2.81-2.97
Pd (0.6437, 0.5907, 0.8572)  2 Li 2.67-2.75, 8 Pd 2.76-2.88, 2 In 2.83-2.85
Pd (0.7281, 0.8917, 0.2864)  5 Li 2.65-2.90, 2 In 2.71-2.76, 3 Pd 2.77-2.83
Pd (0.8699, 0.4335, 0.1432)  4 Li 2.68-2.87, 3 In 2.75-2.78, 4 Pd 2.83-2.91
Pd (0.9142, 0.7315, 0.5793)  3 Li 2.67-2.82, 8 Pd 2.75-2.83, 1 In 2.88

Properties
Its space-group type is P1 (1). Its density is 8.4 g/cm³. Its formation energy from the elements is -0.440 eV/atom.

***

Entry 5:
Below is crystalline NaAcPa2O8 at its relaxed geometry, with properties calculated at the PBE-GGA level.

a b c (Å): 5.8777 5.8777 5.9600
angles (deg): 90.00 90.00 120.00
With the nearest neighbours (Å) after each atom.
Fractional coordinates of all 12 atoms:
Na (0.0000, 0.0000, 0.0000)  6 O 2.20
Ac (0.0000, 0.0000, 0.5000)  6 O 2.78, 2 Na 2.98
Pa (0.3333, 0.6667, 0.9199)  1 O 2.01
Pa (0.6667, 0.3333, 0.0801)  1 O 2.01
O (0.0552, 0.3570, 0.1684)  1 Na 2.20, 2 Pa 2.28
O (0.3019, 0.9448, 0.1684)  1 Na 2.20, 2 Pa 2.28
O (0.3333, 0.6667, 0.5832)  1 Pa 2.01
O (0.3570, 0.3019, 0.8316)  1 Na 2.20, 2 Pa 2.28
O (0.6430, 0.6981, 0.1684)  1 Na 2.20, 2 Pa 2.28
O (0.6667, 0.3333, 0.4168)  1 Pa 2.01
O (0.6981, 0.0552, 0.8316)  1 Na 2.20, 2 Pa 2.28
O (0.9448, 0.6430, 0.8316)  1 Na 2.20, 2 Pa 2.28

Properties
As for the uncorrected formation energy: -2585 meV per atom. Its space-group type is P-3 (147). Its density is 7.8 g/cm³.

***

Entry 6:
Below is crystalline Pm3Pr12Tl at its relaxed geometry, with properties calculated at the PBE-GGA level.

a b c (Å): 5.1513 5.1513 21.0006
angles (deg): 90.00 90.00 90.00
With the nearest neighbours (Å) after each atom.
Fractional coordinates of all 16 atoms:
Pm (0.0000, 0.0000, 0.0000)  12 Pr 3.64-3.70
Pm (0.0000, 0.0000, 0.2524)  12 Pr 3.64-3.71
Pm (0.0000, 0.0000, 0.7476)  12 Pr 3.64-3.71
Pr (0.0000, 0.5000, 0.1265)  8 Pr 3.64-3.71, 4 Pm 3.69-3.70
Pr (0.0000, 0.5000, 0.3794)  2 Tl 3.61, 8 Pr 3.61-3.69, 2 Pm 3.71
Pr (0.0000, 0.5000, 0.6206)  2 Tl 3.61, 8 Pr 3.61-3.69, 2 Pm 3.71
Pr (0.0000, 0.5000, 0.8735)  8 Pr 3.64-3.71, 4 Pm 3.69-3.70
Pr (0.5000, 0.0000, 0.1265)  8 Pr 3.64-3.71, 4 Pm 3.69-3.70
Pr (0.5000, 0.0000, 0.3794)  2 Tl 3.61, 8 Pr 3.61-3.69, 2 Pm 3.71
Pr (0.5000, 0.0000, 0.6206)  2 Tl 3.61, 8 Pr 3.61-3.69, 2 Pm 3.71
Pr (0.5000, 0.0000, 0.8735)  8 Pr 3.64-3.71, 4 Pm 3.69-3.70
Pr (0.5000, 0.5000, 0.0000)  4 Pm 3.64, 8 Pr 3.70
Pr (0.5000, 0.5000, 0.2538)  4 Pm 3.64, 8 Pr 3.69-3.71
Pr (0.5000, 0.5000, 0.5000)  8 Pr 3.61, 4 Tl 3.64
Pr (0.5000, 0.5000, 0.7462)  4 Pm 3.64, 8 Pr 3.69-3.71
Tl (0.0000, 0.0000, 0.5000)  12 Pr 3.61-3.64

Properties
Its space-group type is P4/mmm (123). Its density is 6.9 g/cm³. Its formation energy from the elements is -0.033 eV/atom.

***

Entry 7:
Below is crystalline CaGe2Sb2 at its relaxed geometry, with properties calculated at the PBE-GGA level.

a b c (Å): 4.1814 4.1814 15.2404
angles (deg): 90.00 90.00 90.00
With the nearest neighbours (Å) after each atom.
Fractional coordinates of all 10 atoms:
Ca (0.0000, 0.0000, 0.0000)  8 Sb 3.33
Ca (0.5000, 0.5000, 0.5000)  8 Sb 3.33
Ge (0.0000, 0.5000, 0.2500)  4 Ge 2.96, 4 Sb 3.10
Ge (0.0000, 0.5000, 0.7500)  4 Ge 2.96, 4 Sb 3.10
Ge (0.5000, 0.0000, 0.2500)  4 Ge 2.96, 4 Sb 3.10
Ge (0.5000, 0.0000, 0.7500)  4 Ge 2.96, 4 Sb 3.10
Sb (0.0000, 0.0000, 0.4000)  1 Sb 3.05, 4 Ge 3.10, 4 Ca 3.33
Sb (0.0000, 0.0000, 0.6000)  1 Sb 3.05, 4 Ge 3.10, 4 Ca 3.33
Sb (0.5000, 0.5000, 0.1000)  1 Sb 3.05, 4 Ge 3.10, 4 Ca 3.33
Sb (0.5000, 0.5000, 0.9000)  1 Sb 3.05, 4 Ge 3.10, 4 Ca 3.33

Properties
As for the uncorrected formation energy: -126 meV per atom. Its space-group type is I4/mmm (139). Its density is 5.3 g/cm³.

***

Entry 8:
Below is crystalline NbCrOs2 at its relaxed geometry, with properties calculated at the PBE-GGA level.

a b c (Å): 4.3282 4.3282 3.2264
angles (deg): 90.00 90.00 90.00
With the nearest neighbours (Å) after each atom.
Fractional coordinates of all 4 atoms:
Nb (0.0000, 0.0000, 0.0000)  8 Os 2.70
Cr (0.5000, 0.5000, 0.0000)  8 Os 2.70
Os (0.0000, 0.5000, 0.5000)  4 Cr 2.70, 4 Nb 2.70
Os (0.5000, 0.0000, 0.5000)  4 Cr 2.70, 4 Nb 2.70

Properties
Its space-group type is P4/mmm (123). Its density is 14.4 g/cm³. Its formation energy from the elements is 0.031 eV/atom.

***

Entry 9:
Below is crystalline Pm2YScBi5 at its relaxed geometry, with properties calculated at the PBE-GGA level.

a b c (Å): 5.4819 5.4819 11.5443
angles (deg): 90.00 90.00 90.00
With the nearest neighbours (Å) after each atom.
Fractional coordinates of all 9 atoms:
Pm (0.0000, 0.0000, 0.2200)  1 Bi 3.23
Pm (0.0000, 0.0000, 0.7800)  1 Bi 3.23
Y (0.5000, 0.5000, 0.0000)  6 Bi 2.74-3.01
Sc (0.5000, 0.5000, 0.5000)  2 Bi 2.76
Bi (0.0000, 0.0000, 0.5000)  2 Pm 3.23
Bi (0.0000, 0.5000, 0.0000)  2 Y 2.74
Bi (0.5000, 0.0000, 0.0000)  2 Y 2.74
Bi (0.5000, 0.5000, 0.2611)  1 Sc 2.76, 1 Y 3.01
Bi (0.5000, 0.5000, 0.7389)  1 Sc 2.76, 1 Y 3.01

Properties
Its space-group type is P4/mmm (123). Its density is 7.0 g/cm³. Its formation energy from the elements is -0.048 eV/atom.

***

Entry 10:
Below is crystalline CaInGaMo2 at its relaxed geometry, with properties calculated at the PBE-GGA level.

a b c (Å): 5.0203 5.0203 5.4020
angles (deg): 90.00 90.00 90.00
With the nearest neighbours (Å) after each atom.
Fractional coordinates of all 5 atoms:
Ca (0.0000, 0.0000, 0.0000)  2 In 2.70
In (0.0000, 0.0000, 0.5000)  4 Mo 2.51, 2 Ca 2.70
Ga (0.5000, 0.5000, 0.0000)  4 Ca 3.55, 8 Mo 3.69
Mo (0.0000, 0.5000, 0.5000)  2 In 2.51
Mo (0.5000, 0.0000, 0.5000)  2 In 2.51

Properties
Its space-group type is P4/mmm (123). Its density is 5.1 g/cm³. Its formation energy from the elements is 1.711 eV/atom.

***

Entry 11:
Below is crystalline NbGaRe2Ag at its relaxed geometry, with properties calculated at the PBE-GGA level.

a b c (Å): 4.6108 4.6108 4.4373
angles (deg): 90.00 90.00 90.00
With the nearest neighbours (Å) after each atom.
Fractional coordinates of all 5 atoms:
Nb (0.0000, 0.0000, 0.0000)  8 Re 3.20, 4 Ag 3.26
Ga (0.5000, 0.5000, 0.5000)  2 Ag 2.22, 4 Re 2.31
Re (0.0000, 0.5000, 0.5000)  2 Ga 2.31
Re (0.5000, 0.0000, 0.5000)  2 Ga 2.31
Ag (0.5000, 0.5000, 0.0000)  2 Ga 2.22

Properties
Its space-group type is P4/mmm (123). Its density is 11.3 g/cm³. Its formation energy from the elements is 1.480 eV/atom.

***

Entry 12:
Below is crystalline Tb2SiSn at its relaxed geometry, with properties calculated at the PBE-GGA level.

a b c (Å): 5.9912 4.0598 8.6146
angles (deg): 90.00 107.64 90.00
With the nearest neighbours (Å) after each atom.
Fractional coordinates of all 8 atoms:
Tb (0.1895, 0.2500, 0.4194)  2 Si 2.98, 4 Sn 3.10-3.25
Tb (0.2748, 0.7500, 0.0593)  3 Si 2.98-2.99, 3 Sn 3.14-3.26
Tb (0.7252, 0.2500, 0.9407)  3 Si 2.98-2.99, 3 Sn 3.14-3.26
Tb (0.8105, 0.7500, 0.5806)  2 Si 2.98, 4 Sn 3.10-3.25
Si (0.1183, 0.2500, 0.7946)  2 Sn 2.79, 5 Tb 2.98-2.99
Si (0.8817, 0.7500, 0.2054)  2 Sn 2.79, 5 Tb 2.98-2.99
Sn (0.3794, 0.7500, 0.7092)  2 Si 2.79, 1 Tb 3.10
Sn (0.6206, 0.2500, 0.2908)  2 Si 2.79, 1 Tb 3.10

Properties
As for the uncorrected formation energy: -742 meV per atom. Its space-group type is P2_1/m (11). Its density is 7.7 g/cm³.